Material: NdTh4P5
Method: DFT, PBE-GGA
State: relaxed

The structure in extended XYZ format:
```
10
Lattice="5.282 0.000 2.548 2.641 6.556 1.274 -0.207 0.000 7.179" Properties=species:S:1:pos:R:3 pbc="T T T"
Th 3.005 2.625 7.282
Th 4.722 3.930 3.723
Th 6.221 5.254 7.364
Th 1.506 1.302 3.641
P 4.142 1.320 4.926
P 3.585 5.236 6.080
P 2.073 3.918 2.465
P 5.654 2.637 8.540
P 2.647 0.000 1.277
Nd 0.006 0.000 0.003
```

Results
- total magnetization (μB/cell) = 0.00
- energy of formation (kJ/mol of atoms) = -150.1
- total energy (eV/cell) = -77.054

---

Material: CePu6Sn3
Method: DFT, PBE-GGA
State: relaxed

The structure in extended XYZ format:
```
20
Lattice="-5.727 5.425 -1.098 -3.943 -6.312 -2.838 -1.263 -1.341 7.749" Properties=species:S:1:pos:R:3 pbc="T T T"
Sn -6.553 1.975 3.641
Sn -5.788 1.798 -0.362
Sn -4.379 -4.202 0.173
Sn -3.491 -0.378 4.954
Sn -7.442 -1.849 -1.140
Sn -5.144 -4.025 4.176
Pu -3.853 1.222 2.182
Pu -7.929 0.204 1.329
Pu -7.080 -3.449 1.631
Pu -3.003 -2.431 2.484
Pu -6.531 -1.142 4.553
Pu -0.918 -1.033 2.496
Pu -10.014 -1.195 1.317
Pu -8.932 -0.471 4.841
Pu -2.238 1.738 0.330
Pu -2.000 -1.756 -1.028
Pu -8.694 -3.966 3.483
Pu -4.402 -1.085 -0.739
Ce 0.000 0.000 0.000
Ce -5.466 -1.114 1.907
```

Results
- total magnetization (μB/cell) = 0.02
- energy of formation (kJ/mol of atoms) = -7.2
- total energy (eV/cell) = -209.356

---

Material: YTc2Os
Method: DFT, PBE-GGA
State: relaxed

The structure in extended XYZ format:
```
4
Lattice="4.369 0.000 0.000 0.000 2.931 0.010 0.000 0.994 5.411" Properties=species:S:1:pos:R:3 pbc="T T T"
Y 2.184 0.981 1.355
Tc 0.000 3.813 5.228
Tc 0.000 2.075 2.904
Os 2.184 2.944 4.066
```

Results
- distance to the lowest polymorph of the same formula (meV/atom) = 377
- total magnetization (μB/cell) = 0.00
- energy of formation (kJ/mol of atoms) = 35.1
- total energy (eV/cell) = -36.970

---

Material: Dy3TeP2
Method: DFT, PBE-GGA
State: relaxed

The structure in extended XYZ format:
```
12
Lattice="4.661 0.000 0.000 -2.330 6.736 0.000 0.000 0.000 9.919" Properties=species:S:1:pos:R:3 pbc="T T T"
Dy 2.330 1.628 4.482
Dy 2.330 5.498 2.480
Dy 0.000 5.108 5.437
Dy 0.000 5.108 9.441
Dy 0.000 1.238 7.439
Dy 2.330 1.628 0.477
Te 0.000 3.163 2.480
Te 2.330 3.573 7.439
P 0.000 0.000 0.000
P 0.000 6.640 2.480
P 2.330 0.096 7.439
P 0.000 0.000 4.959
```

Results
- total magnetization (μB/cell) = 0.00
- formation energy from raw total energies (meV per atom) = -1074.7
- total energy (eV/cell) = -68.432

---

Material: La2TlGaNi
Method: DFT, PBE-GGA
State: relaxed

The structure in extended XYZ format:
```
5
Lattice="5.429 0.000 0.000 0.000 5.429 0.000 0.000 0.000 4.626" Properties=species:S:1:pos:R:3 pbc="T T T"
Ni 0.000 0.000 0.000
Tl 2.715 2.715 2.313
La 2.715 0.000 0.000
La 0.000 2.715 0.000
Ga 0.000 0.000 2.313
```

Results
- total magnetization (μB/cell) = 0.00
- energy of formation (kJ/mol of atoms) = -38.6
- total energy (eV/cell) = -23.032

---

Material: Sr3La3HoSe8
Method: DFT, PBE-GGA
State: relaxed

The structure in extended XYZ format:
```
15
Lattice="8.630 0.000 0.000 -4.315 7.474 -0.026 0.000 -4.958 7.226" Properties=species:S:1:pos:R:3 pbc="T T T"
Sr -2.158 3.737 -0.013
Sr 2.158 3.737 -0.013
Sr 0.000 0.000 0.000
Ho 0.000 -2.479 3.613
Se 4.315 0.019 5.373
Se 0.000 -0.087 5.265
Se 2.249 3.808 5.251
Se 0.000 2.498 1.827
Se -2.249 3.808 5.251
Se 4.315 2.604 1.934
Se 2.066 -1.292 1.948
Se 6.564 -1.292 1.948
La 4.315 -2.479 3.613
La -2.158 1.258 3.600
La 2.158 1.258 3.600
```

Results
- total magnetization (μB/cell) = 0.00
- formation energy from raw total energies (meV per atom) = -1994.2
- total energy (eV/cell) = -82.195

---

Material: Na3Tl8Cd3
Method: DFT, PBE-GGA
State: relaxed

The structure in extended XYZ format:
```
14
Lattice="-0.104 4.202 3.119 -8.939 1.130 2.570 -0.620 -3.260 8.762" Properties=species:S:1:pos:R:3 pbc="T T T"
Tl -5.840 3.296 4.148
Tl -7.168 2.964 8.943
Tl -8.726 1.363 6.655
Tl -4.761 0.304 3.823
Tl -0.938 0.709 7.797
Tl -2.496 -0.892 5.509
Tl -3.824 -1.224 10.304
Tl -4.903 1.768 10.629
Na -7.436 -0.708 9.488
Na -2.228 2.780 4.964
Na -4.832 1.036 7.226
Cd -0.052 2.101 1.560
Cd -1.733 -2.673 7.934
Cd -7.826 0.543 3.399
```

Results
- total magnetization (μB/cell) = 0.00
- energy of formation (kJ/mol of atoms) = -2.5
- total energy (eV/cell) = -25.992

---

Material: Zr2TaW
Method: DFT, PBE-GGA
State: relaxed

The structure in extended XYZ format:
```
4
Lattice="10.215 0.001 0.001 9.767 2.994 0.001 9.767 1.464 2.611" Properties=species:S:1:pos:R:3 pbc="T T T"
Zr 0.031 0.005 0.003
Zr 14.843 2.225 1.304
Ta 7.437 1.115 0.653
W 22.312 3.344 1.960
```

Results
- distance to the lowest polymorph of the same formula (meV/atom) = 308
- total magnetization (μB/cell) = 0.00
- energy of formation (kJ/mol of atoms) = 35.4
- total energy (eV/cell) = -40.434